HfI | PBE | relaxed

Computed properties:
raw formation energy: 11.00 kJ/mol of atoms

Cell and atoms, written as CIF:
```
data_HfI
_cell_length_a 6.576
_cell_length_b 6.671
_cell_length_c 9.677
_cell_angle_alpha 90.00
_cell_angle_beta 90.00
_cell_angle_gamma 90.00
_space_group_name_H-M_alt 'P 21 21 21'
_space_group_IT_number 19
_space_group_name_Hall 'P 2ac 2ab'
loop_
_atom_site_label
_atom_site_type_symbol
_atom_site_fract_x
_atom_site_fract_y
_atom_site_fract_z
Hf1 Hf 0.064 0.037 0.313
Hf2 Hf 0.155 0.258 0.974
I1 I 0.145 0.614 0.742
I2 I 0.182 0.848 0.063
```